1.
RbHg2Sb2S6 | GGA-PBE | relaxed

Results
ΔE_f (raw) = -0.28 eV per atom
Size of the total moment = 0.000 μB per atom
DOS(E_F) = 0.46 states/eV/atom

a = 6.8988 Å, b = 7.2830 Å, c = 8.4893 Å
α = 114.96°, β = 93.45°, γ = 96.50°
With the nearest neighbours (Å) after each atom.
Space group P-1 (No. 2)
Asymmetric unit:
Rb (0.0000, 0.0000, 0.0000) (multiplicity 1)  4 S 3.43-3.45
Hg (0.4681, 0.7209, 0.2736) (multiplicity 2)  2 S 2.41-2.42
Sb (0.0282, 0.2933, 0.5681) (multiplicity 2)  4 S 2.46-2.70
S (0.1931, 0.4476, 0.3605) (multiplicity 2)  2 Sb 2.46-2.70
S (0.2265, 0.9520, 0.3485) (multiplicity 2)  1 Hg 2.42, 1 Sb 2.70
S (0.2588, 0.4525, 0.8399) (multiplicity 2)  1 Hg 2.41, 1 Sb 2.47

***

2.
RbHg2SbS4 | GGA-PBE | relaxed

Results
ΔE_f (raw) = -0.34 eV per atom
Size of the total moment = 0.000 μB per atom

a = 6.9633 Å, b = 8.1764 Å, c = 8.9182 Å
α = 90.00°, β = 90.00°, γ = 90.00°
With the nearest neighbours (Å) after each atom.
Space group I222 (No. 23)
Asymmetric unit:
Rb (0.0000, 0.0000, 0.0000) (multiplicity 2)  8 S 3.59-3.61
Hg (0.0000, 0.5000, 0.1855) (multiplicity 4)  2 S 2.37
Sb (0.0000, 0.0000, 0.5000) (multiplicity 2)  4 S 2.68
S (0.2299, 0.1770, 0.3220) (multiplicity 8)  1 Hg 2.37

***

3.
RbHgSbS3 | GGA-PBE | relaxed

Results
ΔE_f (raw) = -0.50 eV per atom
Size of the total moment = 0.000 μB per atom

a = 9.2604 Å, b = 4.1397 Å, c = 10.1060 Å
α = 90.00°, β = 100.79°, γ = 90.00°
With the nearest neighbours (Å) after each atom.
Space group P2_1/m (No. 11)
Asymmetric unit:
Rb (0.1638, 0.2500, 0.2157) (multiplicity 2)  7 S 3.37-3.65
Hg (0.1222, 0.2500, 0.6069) (multiplicity 2)  4 S 2.55-2.82
Sb (0.3597, 0.7500, 0.8696) (multiplicity 2)  3 S 2.45-2.74
S (0.1649, 0.2500, 0.8683) (multiplicity 2)  1 Hg 2.60, 2 Sb 2.74
S (0.1856, 0.7500, 0.4818) (multiplicity 2)  3 Hg 2.55-2.82
S (0.4193, 0.7500, 0.1164) (multiplicity 2)  1 Sb 2.45